Compound: SrPa3Se7
Source: Alexandria via LeMat-Bulk
Functional: PBE
Structure: optimized geometry

Uncorrected formation energy, meV per atom: -1387
Raw total energy, eV/atom: -6.35
M_tot, μB/f.u.: 3.0

a b c (Å): 9.2440 10.2578 7.1246
angles (deg): 90.00 109.88 90.00
Space group C2/m (No. 12)
Symmetry-distinct sites (fractional):
1 Sr 0.0000 0.0000 0.0000 (multiplicity 2)
2 Pa 0.0000 0.2744 0.5000 (multiplicity 4)
3 Pa 0.0000 0.5000 0.0000 (multiplicity 2)
4 Se 0.0000 0.0000 0.5000 (multiplicity 2)
5 Se 0.1556 0.5000 0.7264 (multiplicity 4)
6 Se 0.1747 0.2931 0.2344 (multiplicity 8)

Compound: SmIn2Ag
Source: Alexandria via LeMat-Bulk
Functional: PBE
Structure: optimized geometry

Formation energy, eV/f.u.: -1.4
Raw total energy, eV/atom: -3.61
M_tot, μB/f.u.: 0.0

a b c (Å): 4.6984 4.6984 4.4244
angles (deg): 90.00 90.00 90.00
Space group P4/mmm (No. 123)
Symmetry-distinct sites (fractional):
1 Sm 0.0000 0.0000 0.0000 (multiplicity 1)
2 In 0.0000 0.5000 0.5000 (multiplicity 2)
3 Ag 0.5000 0.5000 0.0000 (multiplicity 1)

Look up the raw total energy of the second one. -3.61 eV/atom

The highest M_tot belongs to which entry? SrPa3Se7

What is the raw total energy in the second record? -3.61 eV/atom